First-principles (GGA-PBE) data for a geometry-optimized KSiHg2 structure, as listed in the Alexandria database.

The space group is I4_1/amd (No. 141, origin choice 2) and the conventional cell measures 5.947, 5.947 and 16.686 Å, with angles of 90.00, 90.00 and 90.00 degrees. The inequivalent atoms are K at (0.000, 0.250, 0.375), Si at (0.000, 0.250, 0.875) and Hg at (0.000, 0.000, 0.000).

The calculation puts the calculated density at 5.27 g cm⁻³. The magnetic moment comes out at 0.0 μB per formula unit. Its density of states at the Fermi level is 0.4446 states/eV per atom. The total energy comes out at -1.683 eV/atom. Its uncorrected formation energy is 0.098 eV per atom.

First-principles (GGA-PBE) data for a geometry-optimized KSiHg2 structure, as listed in the Alexandria database.

The space group is Pmmm (No. 47) and the conventional cell measures 3.103, 4.178 and 8.055 Å, with angles of 90.00, 90.00 and 90.00 degrees. The inequivalent atoms are K at (0.000, 0.000, 0.000), Si at (0.000, 0.000, 0.500) and Hg at (0.500, 0.500, 0.299).

The calculation puts the calculated density at 7.45 g cm⁻³. The magnetic moment comes out at 0.0 μB per formula unit. Its density of states at the Fermi level is 0.3104 states/eV per atom. The total energy comes out at -1.594 eV/atom. Its uncorrected formation energy is 0.187 eV per atom.

First-principles (GGA-PBE) data for a geometry-optimized KSiHg3 structure, as listed in the Alexandria database.

The space group is Pm-3m (No. 221) and the conventional cell measures 5.355, 5.355 and 5.355 Å, with angles of 90.00, 90.00 and 90.00 degrees. The inequivalent atoms are K at (0.000, 0.000, 0.000), Si at (0.500, 0.500, 0.500) and Hg at (0.000, 0.500, 0.500).

The calculation puts the calculated density at 7.23 g cm⁻³. The magnetic moment comes out at 0.0 μB per formula unit. Its density of states at the Fermi level is 0.6009 states/eV per atom. The total energy comes out at -1.466 eV/atom. The distance to the lowest polymorph of the same formula is 0.00 eV/f.u. Its uncorrected formation energy is 0.019 eV per atom.

First-principles (GGA-PBE) data for a geometry-optimized KSiHg3 structure, as listed in the Alexandria database.

The space group is Pm-3m (No. 221) and the conventional cell measures 6.426, 6.426 and 6.426 Å, with angles of 90.00, 90.00 and 90.00 degrees. The inequivalent atoms are K at (0.000, 0.000, 0.000), Si at (0.500, 0.500, 0.500) and Hg at (0.000, 0.000, 0.500).

The calculation puts the calculated density at 4.19 g cm⁻³. The magnetic moment comes out at 2.9 μB per formula unit. Its density of states at the Fermi level is 0.6923 states/eV per atom. The total energy comes out at -0.702 eV/atom. The distance to the lowest polymorph of the same formula is 3.82 eV/f.u. Its uncorrected formation energy is 0.783 eV per atom.

First-principles (GGA-PBE) data for a geometry-optimized KSiHg2 structure, as listed in the Alexandria database.

The space group is F-43m (No. 216) and the conventional cell measures 7.404, 7.404 and 7.404 Å, with angles of 90.00, 90.00 and 90.00 degrees. The inequivalent atoms are K at (0.000, 0.000, 0.000), Si at (0.250, 0.250, 0.250), Hg at (0.000, 0.000, 0.500) and Hg at (0.250, 0.250, 0.750).

The calculation puts the calculated density at 7.66 g cm⁻³. The magnetic moment comes out at 0.0 μB per formula unit. Its density of states at the Fermi level is 0.8040 states/eV per atom. The total energy comes out at -1.463 eV/atom. Its uncorrected formation energy is 0.318 eV per atom.

First-principles (GGA-PBE) data for a geometry-optimized K2SiHg2 structure, as listed in the Alexandria database.

The space group is P4/mbm (No. 127) and the conventional cell measures 7.374, 7.374 and 5.621 Å, with angles of 90.00, 90.00 and 90.00 degrees. The inequivalent atoms are K at (0.176, 0.324, 0.000), Si at (0.000, 0.000, 0.500) and Hg at (0.150, 0.650, 0.500).

The calculation puts the calculated density at 5.51 g cm⁻³. The magnetic moment comes out at 0.0 μB per formula unit. Its density of states at the Fermi level is 0.3291 states/eV per atom. The total energy comes out at -1.624 eV/atom. Its uncorrected formation energy is 0.021 eV per atom.

First-principles (GGA-PBE) data for a geometry-optimized KSiHg2 structure, as listed in the Alexandria database.

The space group is Pmmm (No. 47) and the conventional cell measures 3.182, 4.721 and 7.137 Å, with angles of 90.00, 90.00 and 90.00 degrees. The inequivalent atoms are K at (0.000, 0.000, 0.000), Si at (0.500, 0.000, 0.500) and Hg at (0.500, 0.500, 0.281).

The calculation puts the calculated density at 7.25 g cm⁻³. The magnetic moment comes out at 0.0 μB per formula unit. Its density of states at the Fermi level is 0.4774 states/eV per atom. The total energy comes out at -1.636 eV/atom. Its uncorrected formation energy is 0.145 eV per atom.

First-principles (GGA-PBE) data for a geometry-optimized KSiHg2 structure, as listed in the Alexandria database.

The space group is P4/mmm (No. 123) and the conventional cell measures 4.969, 4.969 and 4.238 Å, with angles of 90.00, 90.00 and 90.00 degrees. The inequivalent atoms are K at (0.000, 0.000, 0.000), Si at (0.500, 0.500, 0.000) and Hg at (0.000, 0.500, 0.500).

The calculation puts the calculated density at 7.43 g cm⁻³. The magnetic moment comes out at 0.0 μB per formula unit. Its density of states at the Fermi level is 0.3905 states/eV per atom. The total energy comes out at -1.496 eV/atom. Its uncorrected formation energy is 0.285 eV per atom.

First-principles (GGA-PBE) data for a geometry-optimized KSiHg2 structure, as listed in the Alexandria database.

The space group is Imm2 (No. 44) and the conventional cell measures 4.593, 5.770 and 8.811 Å, with angles of 90.00, 90.00 and 90.00 degrees. The inequivalent atoms are K at (0.000, 0.000, 0.000), Si at (0.000, 0.500, 0.789), Hg at (0.000, 0.000, 0.419) and Hg at (0.000, 0.500, 0.204).

The calculation puts the calculated density at 6.66 g cm⁻³. The magnetic moment comes out at 0.0 μB per formula unit. Its density of states at the Fermi level is 0.6446 states/eV per atom. The total energy comes out at -1.578 eV/atom. Its uncorrected formation energy is 0.203 eV per atom.

First-principles (GGA-PBE) data for a geometry-optimized KSiHg2 structure, as listed in the Alexandria database.

The space group is Cmmm (No. 65) and the conventional cell measures 6.806, 9.755 and 3.116 Å, with angles of 90.00, 90.00 and 90.00 degrees. The inequivalent atoms are K at (0.000, 0.000, 0.000), Si at (0.000, 0.500, 0.000) and Hg at (0.250, 0.250, 0.500).

The calculation puts the calculated density at 7.52 g cm⁻³. The magnetic moment comes out at 0.0 μB per formula unit. Its density of states at the Fermi level is 0.1431 states/eV per atom. The total energy comes out at -1.482 eV/atom. Its uncorrected formation energy is 0.299 eV per atom.

First-principles (GGA-PBE) data for a geometry-optimized KSiHg2 structure, as listed in the Alexandria database.

The space group is I-4m2 (No. 119) and the conventional cell measures 4.522, 4.522 and 10.427 Å, with angles of 90.00, 90.00 and 90.00 degrees. The inequivalent atoms are K at (0.000, 0.000, 0.000), Si at (0.000, 0.500, 0.750), Hg at (0.000, 0.000, 0.500) and Hg at (0.000, 0.500, 0.250).

The calculation puts the calculated density at 7.29 g cm⁻³. The magnetic moment comes out at 0.0 μB per formula unit. Its density of states at the Fermi level is 0.5645 states/eV per atom. The total energy comes out at -1.480 eV/atom. Its uncorrected formation energy is 0.301 eV per atom.

First-principles (GGA-PBE) data for a geometry-optimized KTa2SiHg structure, as listed in the Alexandria database.

The space group is P4/mmm (No. 123) and the conventional cell measures 4.764, 4.764 and 5.322 Å, with angles of 90.00, 90.00 and 90.00 degrees. The inequivalent atoms are K at (0.000, 0.000, 0.000), Ta at (0.000, 0.500, 0.000), Si at (0.500, 0.500, 0.500) and Hg at (0.000, 0.000, 0.500).

The calculation puts the calculated density at 8.66 g cm⁻³. The magnetic moment comes out at 0.0 μB per formula unit. Its density of states at the Fermi level is 1.3696 states/eV per atom. The total energy comes out at -3.155 eV/atom. Its uncorrected formation energy is 2.950 eV per atom.

First-principles (GGA-PBE) data for a geometry-optimized KSi2TcHg structure, as listed in the Alexandria database.

The space group is P4/mmm (No. 123) and the conventional cell measures 4.676, 4.676 and 5.476 Å, with angles of 90.00, 90.00 and 90.00 degrees. The inequivalent atoms are K at (0.000, 0.000, 0.000), Si at (0.000, 0.500, 0.500), Tc at (0.500, 0.500, 0.500) and Hg at (0.500, 0.500, 0.000).

The calculation puts the calculated density at 5.46 g cm⁻³. The magnetic moment comes out at 0.0 μB per formula unit. Its density of states at the Fermi level is 0.1153 states/eV per atom. The total energy comes out at -4.523 eV/atom. Its uncorrected formation energy is 0.000 eV per atom.

First-principles (GGA-PBE) data for a geometry-optimized KSiHg2Te4 structure, as listed in the Alexandria database.

The space group is Fmm2 (No. 42) and the conventional cell measures 11.214, 11.224 and 9.075 Å, with angles of 90.00, 90.00 and 90.00 degrees. The inequivalent atoms are K at (0.000, 0.000, 0.000), Si at (0.000, 0.000, 0.500), Hg at (0.250, 0.250, 0.249), Te at (0.000, 0.190, 0.347) and Te at (0.190, 0.000, 0.653).

The calculation puts the calculated density at 5.69 g cm⁻³. The magnetic moment comes out at 0.0 μB per formula unit. Its density of states at the Fermi level is 0.2640 states/eV per atom. The total energy comes out at -2.733 eV/atom. Its uncorrected formation energy is -0.272 eV per atom.

First-principles (GGA-PBE) data for a geometry-optimized KTlSi2Hg structure, as listed in the Alexandria database.

The space group is P4/mmm (No. 123) and the conventional cell measures 5.213, 5.213 and 6.002 Å, with angles of 90.00, 90.00 and 90.00 degrees. The inequivalent atoms are K at (0.000, 0.000, 0.000), Tl at (0.500, 0.500, 0.000), Si at (0.000, 0.500, 0.500) and Hg at (0.500, 0.500, 0.500).

The calculation puts the calculated density at 5.09 g cm⁻³. The magnetic moment comes out at 0.0 μB per formula unit. Its density of states at the Fermi level is 0.8939 states/eV per atom. The total energy comes out at -2.249 eV/atom. Its uncorrected formation energy is 0.674 eV per atom.

First-principles (GGA-PBE) data for a geometry-optimized KZn2SiHg structure, as listed in the Alexandria database.

The space group is P4/mmm (No. 123) and the conventional cell measures 4.856, 4.856 and 5.576 Å, with angles of 90.00, 90.00 and 90.00 degrees. The inequivalent atoms are K at (0.000, 0.000, 0.000), Zn at (0.000, 0.500, 0.500), Si at (0.500, 0.500, 0.500) and Hg at (0.500, 0.500, 0.000).

The calculation puts the calculated density at 5.03 g cm⁻³. The magnetic moment comes out at 0.0 μB per formula unit. Its density of states at the Fermi level is 0.3955 states/eV per atom. The total energy comes out at -1.695 eV/atom. Its uncorrected formation energy is 0.179 eV per atom.

First-principles (GGA-PBE) data for a geometry-optimized KZnSiHg2 structure, as listed in the Alexandria database.

The space group is P4/mmm (No. 123) and the conventional cell measures 5.504, 5.504 and 4.756 Å, with angles of 90.00, 90.00 and 90.00 degrees. The inequivalent atoms are K at (0.000, 0.000, 0.000), Zn at (0.500, 0.500, 0.000), Si at (0.500, 0.500, 0.500) and Hg at (0.000, 0.500, 0.500).

The calculation puts the calculated density at 6.15 g cm⁻³. The magnetic moment comes out at 0.0 μB per formula unit. Its density of states at the Fermi level is 0.7457 states/eV per atom. The total energy comes out at -1.576 eV/atom. Its uncorrected formation energy is 0.104 eV per atom.

First-principles (GGA-PBE) data for a geometry-optimized KSm2Hg3 structure, as listed in the Alexandria database.

The space group is P4/mmm (No. 123) and the conventional cell measures 3.813, 3.813 and 12.335 Å, with angles of 90.00, 90.00 and 90.00 degrees. The inequivalent atoms are K at (0.000, 0.000, 0.000), Sm at (0.000, 0.000, 0.345), Hg at (0.500, 0.500, 0.205) and Hg at (0.500, 0.500, 0.500).

The calculation puts the calculated density at 8.72 g cm⁻³. The magnetic moment comes out at 0.0 μB per formula unit. Its density of states at the Fermi level is 0.5523 states/eV per atom. The total energy comes out at -2.284 eV/atom. Its formation energy is -377 meV per atom.

First-principles (GGA-PBE) data for a geometry-optimized KSmHg structure, as listed in the Alexandria database.

The space group is Amm2 (No. 38) and the conventional cell measures 17.153, 3.929 and 6.746 Å, with angles of 90.00, 90.00 and 90.00 degrees. The inequivalent atoms are K at (0.163, 0.000, 0.000), Sm at (0.372, 0.000, 0.658), Hg at (0.000, 0.000, 0.663) and Hg at (0.500, 0.000, 0.993).

The calculation puts the calculated density at 5.70 g cm⁻³. The magnetic moment comes out at 0.0 μB per formula unit. Its density of states at the Fermi level is 0.7604 states/eV per atom. The total energy comes out at -2.024 eV/atom. Its formation energy is 16 meV per atom.

First-principles (GGA-PBE) data for a geometry-optimized KSmHgTe3 structure, as listed in the Alexandria database.

The space group is P2_1/m (No. 11) and the conventional cell measures 9.435, 4.559 and 10.862 Å, with angles of 90.00, 106.81 and 90.00 degrees. The inequivalent atoms are K at (0.218, 0.250, 0.251), Sm at (0.322, 0.750, 0.861), Hg at (0.091, 0.250, 0.614), Te at (0.089, 0.250, 0.873), Te at (0.239, 0.750, 0.542) and Te at (0.456, 0.750, 0.158).

The calculation puts the calculated density at 5.74 g cm⁻³. The magnetic moment comes out at 0.0 μB per formula unit. The total energy comes out at -3.548 eV/atom. Its uncorrected formation energy is -0.958 eV per atom.